# 1
Here is an optimized crystal structure of RbNaSnO2 from the Alexandria database. Energies are from GGA-PBE.

Lattice parameters (Å, degrees): 6.1595 6.1595 9.2177 106.72 106.72 37.94
Fractional coordinates of all 10 atoms:
Rb 0.1582 0.1582 0.0978
Rb 0.8418 0.8418 0.9022
Na 0.2112 0.2112 0.5836
Na 0.7888 0.7888 0.4164
Sn 0.4670 0.4670 0.3052
Sn 0.5330 0.5330 0.6948
O 0.1378 0.1378 0.7855
O 0.3772 0.3772 0.4733
O 0.6228 0.6228 0.5267
O 0.8622 0.8622 0.2145

---

# 2
Here is an optimized crystal structure of Ba4CuAs4 from the Alexandria database. Energies are from GGA-PBE.

Lattice parameters (Å, degrees): 9.4749 9.4749 6.8022 90.00 90.00 90.00
Fractional coordinates of all 18 atoms:
Ba 0.0165 0.2500 0.0582
Ba 0.2500 0.0165 0.5582
Ba 0.2500 0.4835 0.5582
Ba 0.4835 0.2500 0.0582
Ba 0.5165 0.7500 0.9418
Ba 0.7500 0.5165 0.4418
Ba 0.7500 0.9835 0.4418
Ba 0.9835 0.7500 0.9418
Cu 0.2500 0.7500 0.2500
Cu 0.7500 0.2500 0.7500
As 0.0290 0.7500 0.4402
As 0.2500 0.5290 0.0598
As 0.2500 0.9710 0.0598
As 0.4710 0.7500 0.4402
As 0.5290 0.2500 0.5598
As 0.7500 0.0290 0.9402
As 0.7500 0.4710 0.9402
As 0.9710 0.2500 0.5598

---

# 3
Here is an optimized crystal structure of HoCd11In from the Alexandria database. Energies are from GGA-PBE.

Lattice parameters (Å, degrees): 7.6982 7.6982 7.6659 98.64 98.64 134.16
Fractional coordinates of all 13 atoms:
Ho 0.0000 0.0000 0.0000
Cd 0.0000 0.0000 0.5000
Cd 0.0000 0.5000 0.0000
Cd 0.0051 0.6510 0.6499
Cd 0.2813 0.4922 0.7918
Cd 0.3490 0.9949 0.3501
Cd 0.4922 0.2813 0.7918
Cd 0.5000 0.0000 0.0000
Cd 0.5078 0.7187 0.2082
Cd 0.6510 0.0051 0.6499
Cd 0.7187 0.5078 0.2082
Cd 0.9949 0.3490 0.3501
In 0.5000 0.5000 0.5000

---

# 4
Here is an optimized crystal structure of PuGeSe4 from the Alexandria database. Energies are from GGA-PBE.

Lattice parameters (Å, degrees): 8.6109 6.3832 6.4162 90.00 90.00 90.00
Fractional coordinates of all 12 atoms:
Pu 0.0000 0.0805 0.0000
Pu 0.5000 0.9195 0.5000
Ge 0.0000 0.6765 0.5664
Ge 0.5000 0.3235 0.0664
Se 0.0000 0.3120 0.6310
Se 0.0000 0.6864 0.1979
Se 0.2159 0.8464 0.7387
Se 0.2841 0.1536 0.2387
Se 0.5000 0.3136 0.6979
Se 0.5000 0.6880 0.1310
Se 0.7159 0.1536 0.2387
Se 0.7841 0.8464 0.7387

---

# 5
Here is an optimized crystal structure of CaRu2Au from the Alexandria database. Energies are from GGA-PBE.

Lattice parameters (Å, degrees): 10.4167 10.4167 10.4167 157.34 157.34 32.26
Fractional coordinates of all 8 atoms:
Ca 0.0000 0.0000 0.0000
Ca 0.7500 0.2500 0.5000
Ru 0.2308 0.6250 0.1058
Ru 0.3750 0.4808 0.6058
Ru 0.5192 0.1250 0.8942
Ru 0.8750 0.7692 0.3942
Au 0.2500 0.7500 0.5000
Au 0.5000 0.5000 0.0000

Computed properties:
- relative energy among the computed polymorphs (meV/atom) = 311

---

# 6
Here is an optimized crystal structure of YGaBr2 from the Alexandria database. Energies are from GGA-PBE.

Lattice parameters (Å, degrees): 5.1948 5.1948 5.1948 60.00 60.00 60.00
Fractional coordinates of all 4 atoms:
Y 0.0000 0.0000 0.0000
Ga 0.5000 0.5000 0.5000
Br 0.2500 0.2500 0.2500
Br 0.7500 0.7500 0.7500

Computed properties:
- relative energy among the computed polymorphs (meV/atom) = 265

---

| no. | M_tot (μB/f.u.) | E (eV per formula unit) |
| --- | --- | --- |
| 1 | 0.00 | -22.5 |
| 2 | 0.00 | -37.7 |
| 3 | 0.00 | -17.9 |
| 4 | 3.99 | -36.3 |
| 5 | 0.00 | -22.2 |
| 6 | 1.29 | -15.5 |